1.
# Li2AsP2 | Alexandria | meta-GGA SCAN | single point on PBEsol structure
# - energy relative to the elements (eV per atom) = -0.10
# - DOS(E_F) (states/eV/cell) = 4.0
# - total magnetic moment (Bohr magnetons per cell) = 0.00
data_Li2AsP2
_cell_length_a 3.966
_cell_length_b 3.966
_cell_length_c 9.876
_cell_angle_alpha 90.00
_cell_angle_beta 90.00
_cell_angle_gamma 90.00
_symmetry_space_group_name_H-M 'I 4/m m m'
_symmetry_Int_Tables_number 139
_symmetry_space_group_name_Hall '-I 4 2'
loop_
_atom_site_label
_atom_site_type_symbol
_atom_site_fract_x
_atom_site_fract_y
_atom_site_fract_z
_atom_site_occupancy
Li1 Li 0.000 0.500 0.250 1
As1 As 0.000 0.000 0.000 1
P1 P 0.000 0.000 0.394 1

2.
# RbNiOs3 | Alexandria | meta-GGA SCAN | single point on PBEsol structure
# - energy relative to the elements (eV per atom) = 2.32
# - DOS(E_F) (states/eV/cell) = 5.2
# - total magnetic moment (Bohr magnetons per cell) = 4.93
data_RbNiOs3
_cell_length_a 4.571
_cell_length_b 4.571
_cell_length_c 4.571
_cell_angle_alpha 90.00
_cell_angle_beta 90.00
_cell_angle_gamma 90.00
_symmetry_space_group_name_H-M 'P m -3 m'
_symmetry_Int_Tables_number 221
_symmetry_space_group_name_Hall '-P 4 2 3'
loop_
_atom_site_label
_atom_site_type_symbol
_atom_site_fract_x
_atom_site_fract_y
_atom_site_fract_z
_atom_site_occupancy
Rb1 Rb 0.000 0.000 0.000 1
Ni1 Ni 0.500 0.500 0.500 1
Os1 Os 0.000 0.500 0.500 1

3.
# Sm6Fe23 | Alexandria | meta-GGA SCAN | single point on PBEsol structure
# - energy relative to the elements (eV per atom) = 0.04
# - DOS(E_F) (states/eV/cell) = 94.6
# - total magnetic moment (Bohr magnetons per cell) = 216.62
data_Sm6Fe23
_cell_length_a 11.810
_cell_length_b 11.810
_cell_length_c 11.810
_cell_angle_alpha 90.00
_cell_angle_beta 90.00
_cell_angle_gamma 90.00
_symmetry_space_group_name_H-M 'F m -3 m'
_symmetry_Int_Tables_number 225
_symmetry_space_group_name_Hall '-F 4 2 3'
loop_
_atom_site_label
_atom_site_type_symbol
_atom_site_fract_x
_atom_site_fract_y
_atom_site_fract_z
_atom_site_occupancy
Sm1 Sm 0.000 0.000 0.207 1
Fe1 Fe 0.000 0.000 0.500 1
Fe2 Fe 0.000 0.250 0.250 1
Fe3 Fe 0.122 0.122 0.378 1
Fe4 Fe 0.176 0.176 0.176 1

4.
# CsHg3Os | Alexandria | meta-GGA SCAN | single point on PBEsol structure
# - energy relative to the elements (eV per atom) = 1.73
# - DOS(E_F) (states/eV/cell) = 11.4
# - total magnetic moment (Bohr magnetons per cell) = 3.09
data_CsHg3Os
_cell_length_a 6.529
_cell_length_b 6.529
_cell_length_c 6.529
_cell_angle_alpha 90.00
_cell_angle_beta 90.00
_cell_angle_gamma 90.00
_symmetry_space_group_name_H-M 'P m -3 m'
_symmetry_Int_Tables_number 221
_symmetry_space_group_name_Hall '-P 4 2 3'
loop_
_atom_site_label
_atom_site_type_symbol
_atom_site_fract_x
_atom_site_fract_y
_atom_site_fract_z
_atom_site_occupancy
Cs1 Cs 0.000 0.000 0.000 1
Hg1 Hg 0.000 0.000 0.500 1
Os1 Os 0.500 0.500 0.500 1

> The lowest DOS(E_F) belongs to which entry?

Li2AsP2

> Which of these has the highest total magnetic moment?

Sm6Fe23

> Which formula does entry 3 have?

Sm6Fe23

> Which value of total magnetic moment does entry 2 give?

4.93 Bohr magnetons per cell